# PBE PrHo2Ru, relaxed
# - SG = P4/mmm (123)
data_PrHo2Ru
_cell_length_a 3.4428
_cell_length_b 3.4428
_cell_length_c 9.0641
_cell_angle_alpha 90.00
_cell_angle_beta 90.00
_cell_angle_gamma 90.00
_symmetry_space_group_name_H-M 'P 1'
_symmetry_Int_Tables_number 1
loop_
_symmetry_equiv_pos_as_xyz
'x,y,z'
loop_
_atom_site_label
_atom_site_type_symbol
_atom_site_fract_x
_atom_site_fract_y
_atom_site_fract_z
Pr1 Pr 0.0000 0.0000 0.0000
Ho1 Ho 0.5000 0.5000 0.3210
Ho2 Ho 0.5000 0.5000 0.6790
Ru1 Ru 0.0000 0.0000 0.5000


# PBE PrHo2Ru9, relaxed
# - SG = R-3m (166)
data_PrHo2Ru9
_cell_length_a 9.1891
_cell_length_b 9.1891
_cell_length_c 9.1891
_cell_angle_alpha 33.59
_cell_angle_beta 33.59
_cell_angle_gamma 33.59
_symmetry_space_group_name_H-M 'P 1'
_symmetry_Int_Tables_number 1
loop_
_symmetry_equiv_pos_as_xyz
'x,y,z'
loop_
_atom_site_label
_atom_site_type_symbol
_atom_site_fract_x
_atom_site_fract_y
_atom_site_fract_z
Pr1 Pr 0.0000 0.0000 0.0000
Ho1 Ho 0.1398 0.1398 0.1398
Ho2 Ho 0.8602 0.8602 0.8602
Ru1 Ru 0.0714 0.5898 0.5898
Ru2 Ru 0.3388 0.3388 0.3388
Ru3 Ru 0.4102 0.4102 0.9286
Ru4 Ru 0.4102 0.9286 0.4102
Ru5 Ru 0.5000 0.5000 0.5000
Ru6 Ru 0.5898 0.0714 0.5898
Ru7 Ru 0.5898 0.5898 0.0714
Ru8 Ru 0.6612 0.6612 0.6612
Ru9 Ru 0.9286 0.4102 0.4102


# PBE PrHo3Ru8, relaxed
# - SG = R3m (160)
data_PrHo3Ru8
_cell_length_a 9.3210
_cell_length_b 9.3210
_cell_length_c 9.3210
_cell_angle_alpha 33.30
_cell_angle_beta 33.30
_cell_angle_gamma 33.30
_symmetry_space_group_name_H-M 'P 1'
_symmetry_Int_Tables_number 1
loop_
_symmetry_equiv_pos_as_xyz
'x,y,z'
loop_
_atom_site_label
_atom_site_type_symbol
_atom_site_fract_x
_atom_site_fract_y
_atom_site_fract_z
Pr1 Pr 0.0000 0.0000 0.0000
Ho1 Ho 0.1254 0.1254 0.1254
Ho2 Ho 0.5006 0.5006 0.5006
Ho3 Ho 0.6248 0.6248 0.6248
Ru1 Ru 0.0631 0.0631 0.5573
Ru2 Ru 0.0631 0.5573 0.0631
Ru3 Ru 0.0676 0.5630 0.5630
Ru4 Ru 0.3125 0.3125 0.3125
Ru5 Ru 0.5573 0.0631 0.0631
Ru6 Ru 0.5630 0.0676 0.5630
Ru7 Ru 0.5630 0.5630 0.0676
Ru8 Ru 0.8129 0.8129 0.8129


# PBE Pr2HoRu, relaxed
# - SG = P4/mmm (123)
data_Pr2HoRu
_cell_length_a 3.5399
_cell_length_b 3.5399
_cell_length_c 9.2219
_cell_angle_alpha 90.00
_cell_angle_beta 90.00
_cell_angle_gamma 90.00
_symmetry_space_group_name_H-M 'P 1'
_symmetry_Int_Tables_number 1
loop_
_symmetry_equiv_pos_as_xyz
'x,y,z'
loop_
_atom_site_label
_atom_site_type_symbol
_atom_site_fract_x
_atom_site_fract_y
_atom_site_fract_z
Pr1 Pr 0.0000 0.0000 0.1885
Pr2 Pr 0.0000 0.0000 0.8115
Ho1 Ho 0.5000 0.5000 0.5000
Ru1 Ru 0.5000 0.5000 0.0000


# PBE PrHo3Ru, relaxed
# - SG = Pm-3m (221)
data_PrHo3Ru
_cell_length_a 5.3945
_cell_length_b 5.3945
_cell_length_c 5.3945
_cell_angle_alpha 90.00
_cell_angle_beta 90.00
_cell_angle_gamma 90.00
_symmetry_space_group_name_H-M 'P 1'
_symmetry_Int_Tables_number 1
loop_
_symmetry_equiv_pos_as_xyz
'x,y,z'
loop_
_atom_site_label
_atom_site_type_symbol
_atom_site_fract_x
_atom_site_fract_y
_atom_site_fract_z
Pr1 Pr 0.0000 0.0000 0.0000
Ho1 Ho 0.0000 0.5000 0.5000
Ho2 Ho 0.5000 0.0000 0.5000
Ho3 Ho 0.5000 0.5000 0.0000
Ru1 Ru 0.5000 0.5000 0.5000


# PBE PrHo3Ru, relaxed
# - SG = Pmn2_1 (31)
data_PrHo3Ru
_cell_length_a 7.6407
_cell_length_b 6.4267
_cell_length_c 6.2386
_cell_angle_alpha 90.00
_cell_angle_beta 90.00
_cell_angle_gamma 90.00
_symmetry_space_group_name_H-M 'P 1'
_symmetry_Int_Tables_number 1
loop_
_symmetry_equiv_pos_as_xyz
'x,y,z'
loop_
_atom_site_label
_atom_site_type_symbol
_atom_site_fract_x
_atom_site_fract_y
_atom_site_fract_z
Pr1 Pr 0.0000 0.1489 0.0000
Pr2 Pr 0.5000 0.8511 0.5000
Ho1 Ho 0.0000 0.8398 0.4875
Ho2 Ho 0.2489 0.3255 0.4935
Ho3 Ho 0.2511 0.6745 0.9935
Ho4 Ho 0.5000 0.1602 0.9875
Ho5 Ho 0.7489 0.6745 0.9935
Ho6 Ho 0.7511 0.3255 0.4935
Ru1 Ru 0.0000 0.5055 0.7412
Ru2 Ru 0.5000 0.4945 0.2412


# PBE Pr2HoRu, relaxed
# - SG = Cmcm (63)
data_Pr2HoRu
_cell_length_a 6.3946
_cell_length_b 6.3946
_cell_length_c 9.4093
_cell_angle_alpha 90.00
_cell_angle_beta 90.00
_cell_angle_gamma 143.06
_symmetry_space_group_name_H-M 'P 1'
_symmetry_Int_Tables_number 1
loop_
_symmetry_equiv_pos_as_xyz
'x,y,z'
loop_
_atom_site_label
_atom_site_type_symbol
_atom_site_fract_x
_atom_site_fract_y
_atom_site_fract_z
Pr1 Pr 0.1398 0.8602 0.5683
Pr2 Pr 0.1398 0.8602 0.9317
Pr3 Pr 0.8602 0.1398 0.0683
Pr4 Pr 0.8602 0.1398 0.4317
Ho1 Ho 0.4175 0.5825 0.7500
Ho2 Ho 0.5825 0.4175 0.2500
Ru1 Ru 0.2391 0.7609 0.2500
Ru2 Ru 0.7609 0.2391 0.7500


# PBE PrHoRu, relaxed
# - SG = F-43m (216)
data_PrHoRu
_cell_length_a 4.8624
_cell_length_b 4.8624
_cell_length_c 4.8624
_cell_angle_alpha 60.00
_cell_angle_beta 60.00
_cell_angle_gamma 60.00
_symmetry_space_group_name_H-M 'P 1'
_symmetry_Int_Tables_number 1
loop_
_symmetry_equiv_pos_as_xyz
'x,y,z'
loop_
_atom_site_label
_atom_site_type_symbol
_atom_site_fract_x
_atom_site_fract_y
_atom_site_fract_z
Pr1 Pr 0.0000 0.0000 0.0000
Ho1 Ho 0.5000 0.5000 0.5000
Ru1 Ru 0.2500 0.2500 0.2500


# PBE PrHo2Ru, relaxed
# - SG = Pnma (62)
data_PrHo2Ru
_cell_length_a 7.3544
_cell_length_b 9.2797
_cell_length_c 6.4209
_cell_angle_alpha 90.00
_cell_angle_beta 90.00
_cell_angle_gamma 90.00
_symmetry_space_group_name_H-M 'P 1'
_symmetry_Int_Tables_number 1
loop_
_symmetry_equiv_pos_as_xyz
'x,y,z'
loop_
_atom_site_label
_atom_site_type_symbol
_atom_site_fract_x
_atom_site_fract_y
_atom_site_fract_z
Pr1 Pr 0.0404 0.2500 0.1338
Pr2 Pr 0.4596 0.7500 0.6338
Pr3 Pr 0.5404 0.2500 0.3662
Pr4 Pr 0.9596 0.7500 0.8662
Ho1 Ho 0.1761 0.0667 0.6667
Ho2 Ho 0.1761 0.4333 0.6667
Ho3 Ho 0.3239 0.5667 0.1667
Ho4 Ho 0.3239 0.9333 0.1667
Ho5 Ho 0.6761 0.0667 0.8333
Ho6 Ho 0.6761 0.4333 0.8333
Ho7 Ho 0.8239 0.5667 0.3333
Ho8 Ho 0.8239 0.9333 0.3333
Ru1 Ru 0.1142 0.7500 0.4443
Ru2 Ru 0.3858 0.2500 0.9443
Ru3 Ru 0.6142 0.7500 0.0557
Ru4 Ru 0.8858 0.2500 0.5557


# PBE PrHo5Ru6, relaxed
# - SG = Immm (71)
data_PrHo5Ru6
_cell_length_a 8.3390
_cell_length_b 8.3390
_cell_length_c 8.3390
_cell_angle_alpha 146.41
_cell_angle_beta 131.66
_cell_angle_gamma 60.15
_symmetry_space_group_name_H-M 'P 1'
_symmetry_Int_Tables_number 1
loop_
_symmetry_equiv_pos_as_xyz
'x,y,z'
loop_
_atom_site_label
_atom_site_type_symbol
_atom_site_fract_x
_atom_site_fract_y
_atom_site_fract_z
Pr1 Pr 0.0000 0.0000 0.0000
Ho1 Ho 0.1694 0.6694 0.5000
Ho2 Ho 0.3335 0.3335 0.0000
Ho3 Ho 0.5000 0.0000 0.5000
Ho4 Ho 0.6665 0.6665 0.0000
Ho5 Ho 0.8306 0.3306 0.5000
Ru1 Ru 0.0836 0.8317 0.2519
Ru2 Ru 0.2544 0.5000 0.7544
Ru3 Ru 0.4202 0.1683 0.2519
Ru4 Ru 0.5798 0.8317 0.7481
Ru5 Ru 0.7456 0.5000 0.2456
Ru6 Ru 0.9164 0.1683 0.7481


# PBE PrHoTlRu, relaxed
# - SG = F-43m (216)
data_PrHoTlRu
_cell_length_a 5.1796
_cell_length_b 5.1796
_cell_length_c 5.1796
_cell_angle_alpha 60.00
_cell_angle_beta 60.00
_cell_angle_gamma 60.00
_symmetry_space_group_name_H-M 'P 1'
_symmetry_Int_Tables_number 1
loop_
_symmetry_equiv_pos_as_xyz
'x,y,z'
loop_
_atom_site_label
_atom_site_type_symbol
_atom_site_fract_x
_atom_site_fract_y
_atom_site_fract_z
Pr1 Pr 0.0000 0.0000 0.0000
Ho1 Ho 0.5000 0.5000 0.5000
Tl1 Tl 0.2500 0.2500 0.2500
Ru1 Ru 0.7500 0.7500 0.7500


# PBE PrHoTmRu, relaxed
# - SG = P4mm (99)
data_PrHoTmRu
_cell_length_a 3.4323
_cell_length_b 3.4323
_cell_length_c 9.0118
_cell_angle_alpha 90.00
_cell_angle_beta 90.00
_cell_angle_gamma 90.00
_symmetry_space_group_name_H-M 'P 1'
_symmetry_Int_Tables_number 1
loop_
_symmetry_equiv_pos_as_xyz
'x,y,z'
loop_
_atom_site_label
_atom_site_type_symbol
_atom_site_fract_x
_atom_site_fract_y
_atom_site_fract_z
Pr1 Pr 0.0000 0.0000 0.0000
Ho1 Ho 0.5000 0.5000 0.6767
Tm1 Tm 0.5000 0.5000 0.3189
Ru1 Ru 0.0000 0.0000 0.4958


# PBE PrHoZnRu, relaxed
# - SG = F-43m (216)
data_PrHoZnRu
_cell_length_a 5.0115
_cell_length_b 5.0115
_cell_length_c 5.0115
_cell_angle_alpha 60.00
_cell_angle_beta 60.00
_cell_angle_gamma 60.00
_symmetry_space_group_name_H-M 'P 1'
_symmetry_Int_Tables_number 1
loop_
_symmetry_equiv_pos_as_xyz
'x,y,z'
loop_
_atom_site_label
_atom_site_type_symbol
_atom_site_fract_x
_atom_site_fract_y
_atom_site_fract_z
Pr1 Pr 0.0000 0.0000 0.0000
Ho1 Ho 0.5000 0.5000 0.5000
Zn1 Zn 0.2500 0.2500 0.2500
Ru1 Ru 0.7500 0.7500 0.7500


# PBE PrHoZnRu, relaxed
# - SG = Amm2 (38)
data_PrHoZnRu
_cell_length_a 4.3036
_cell_length_b 5.7412
_cell_length_c 5.7412
_cell_angle_alpha 41.26
_cell_angle_beta 90.00
_cell_angle_gamma 90.00
_symmetry_space_group_name_H-M 'P 1'
_symmetry_Int_Tables_number 1
loop_
_symmetry_equiv_pos_as_xyz
'x,y,z'
loop_
_atom_site_label
_atom_site_type_symbol
_atom_site_fract_x
_atom_site_fract_y
_atom_site_fract_z
Pr1 Pr 0.0000 0.0000 0.0000
Ho1 Ho 0.5000 0.2835 0.2835
Zn1 Zn 0.5000 0.5821 0.5821
Ru1 Ru 0.0000 0.7248 0.7248


# PBE PrHo4S7, relaxed
# - formation energy from raw total energies (meV per atom) = -2045
# - SG = Cm (8)
data_PrHo4S7
_cell_length_a 6.7692
_cell_length_b 6.7692
_cell_length_c 11.6861
_cell_angle_alpha 103.80
_cell_angle_beta 103.80
_cell_angle_gamma 32.77
_symmetry_space_group_name_H-M 'P 1'
_symmetry_Int_Tables_number 1
loop_
_symmetry_equiv_pos_as_xyz
'x,y,z'
loop_
_atom_site_label
_atom_site_type_symbol
_atom_site_fract_x
_atom_site_fract_y
_atom_site_fract_z
Pr1 Pr 0.0000 0.0000 0.0000
Ho1 Ho 0.1126 0.1126 0.4224
Ho2 Ho 0.2233 0.2233 0.8359
Ho3 Ho 0.4114 0.4114 0.6044
Ho4 Ho 0.8123 0.8123 0.2351
S1 S 0.0675 0.0675 0.6335
S2 S 0.1581 0.1581 0.2123
S3 S 0.3606 0.3606 0.0691
S4 S 0.4548 0.4548 0.3697
S5 S 0.6156 0.6156 0.9117
S6 S 0.7707 0.7707 0.4704
S7 S 0.8488 0.8488 0.7651


# PBE Pr2HoS3, relaxed
# - formation energy from raw total energies (meV per atom) = -2005
# - SG = P-3m1 (164)
data_Pr2HoS3
_cell_length_a 4.0157
_cell_length_b 4.0157
_cell_length_c 9.9706
_cell_angle_alpha 90.00
_cell_angle_beta 90.00
_cell_angle_gamma 120.00
_symmetry_space_group_name_H-M 'P 1'
_symmetry_Int_Tables_number 1
loop_
_symmetry_equiv_pos_as_xyz
'x,y,z'
loop_
_atom_site_label
_atom_site_type_symbol
_atom_site_fract_x
_atom_site_fract_y
_atom_site_fract_z
Pr1 Pr 0.3333 0.6667 0.1705
Pr2 Pr 0.6667 0.3333 0.8295
Ho1 Ho 0.0000 0.0000 0.5000
S1 S 0.0000 0.0000 0.0000
S2 S 0.3333 0.6667 0.6505
S3 S 0.6667 0.3333 0.3495


# PBE PrHo2S, relaxed
# - formation energy from raw total energies (meV per atom) = -942
# - SG = R3m (160)
data_PrHo2S
_cell_length_a 9.6598
_cell_length_b 9.6598
_cell_length_c 9.6598
_cell_angle_alpha 22.21
_cell_angle_beta 22.21
_cell_angle_gamma 22.21
_symmetry_space_group_name_H-M 'P 1'
_symmetry_Int_Tables_number 1
loop_
_symmetry_equiv_pos_as_xyz
'x,y,z'
loop_
_atom_site_label
_atom_site_type_symbol
_atom_site_fract_x
_atom_site_fract_y
_atom_site_fract_z
Pr1 Pr 0.0000 0.0000 0.0000
Ho1 Ho 0.2257 0.2257 0.2257
Ho2 Ho 0.4407 0.4407 0.4407
S1 S 0.8331 0.8331 0.8331


# PBE PrHoS, relaxed
# - formation energy from raw total energies (meV per atom) = -1210
# - SG = P-3m1 (164)
data_PrHoS
_cell_length_a 3.8586
_cell_length_b 3.8586
_cell_length_c 13.0676
_cell_angle_alpha 90.00
_cell_angle_beta 90.00
_cell_angle_gamma 120.00
_symmetry_space_group_name_H-M 'P 1'
_symmetry_Int_Tables_number 1
loop_
_symmetry_equiv_pos_as_xyz
'x,y,z'
loop_
_atom_site_label
_atom_site_type_symbol
_atom_site_fract_x
_atom_site_fract_y
_atom_site_fract_z
Pr1 Pr 0.0000 0.0000 0.1367
Pr2 Pr 0.0000 0.0000 0.8633
Ho1 Ho 0.3333 0.6667 0.3870
Ho2 Ho 0.6667 0.3333 0.6130
S1 S 0.3333 0.6667 0.7301
S2 S 0.6667 0.3333 0.2699


# PBE PrHoS, relaxed
# - formation energy from raw total energies (meV per atom) = -1240
# - SG = P3m1 (156)
data_PrHoS
_cell_length_a 3.8595
_cell_length_b 3.8595
_cell_length_c 6.5151
_cell_angle_alpha 90.00
_cell_angle_beta 90.00
_cell_angle_gamma 120.00
_symmetry_space_group_name_H-M 'P 1'
_symmetry_Int_Tables_number 1
loop_
_symmetry_equiv_pos_as_xyz
'x,y,z'
loop_
_atom_site_label
_atom_site_type_symbol
_atom_site_fract_x
_atom_site_fract_y
_atom_site_fract_z
Pr1 Pr 0.0000 0.0000 0.0000
Ho1 Ho 0.6667 0.3333 0.4794
S1 S 0.3333 0.6667 0.7206


# PBE PrHo2S4, relaxed
# - formation energy from raw total energies (meV per atom) = -2071
# - SG = Cmcm (63)
data_PrHo2S4
_cell_length_a 6.7562
_cell_length_b 6.7562
_cell_length_c 13.2170
_cell_angle_alpha 90.00
_cell_angle_beta 90.00
_cell_angle_gamma 146.69
_symmetry_space_group_name_H-M 'P 1'
_symmetry_Int_Tables_number 1
loop_
_symmetry_equiv_pos_as_xyz
'x,y,z'
loop_
_atom_site_label
_atom_site_type_symbol
_atom_site_fract_x
_atom_site_fract_y
_atom_site_fract_z
Pr1 Pr 0.1236 0.8764 0.7500
Pr2 Pr 0.8764 0.1236 0.2500
Ho1 Ho 0.3699 0.6301 0.5677
Ho2 Ho 0.3699 0.6301 0.9323
Ho3 Ho 0.6301 0.3699 0.0677
Ho4 Ho 0.6301 0.3699 0.4323
S1 S 0.0000 0.0000 0.0000
S2 S 0.0000 0.0000 0.5000
S3 S 0.2723 0.7277 0.1183
S4 S 0.2723 0.7277 0.3817
S5 S 0.4598 0.5402 0.7500
S6 S 0.5402 0.4598 0.2500
S7 S 0.7277 0.2723 0.6183
S8 S 0.7277 0.2723 0.8817


| no. | calculated volume (Å³/cell) | DFT total energy (eV/cell) |
| --- | --- | --- |
| 1 | 107.43 | -24.204 |
| 2 | 211.60 | -98.765 |
| 3 | 217.29 | -95.766 |
| 4 | 115.56 | -23.343 |
| 5 | 156.98 | -28.295 |
| 6 | 306.34 | -56.993 |
| 7 | 231.24 | -48.300 |
| 8 | 81.29 | -19.202 |
| 9 | 438.21 | -97.253 |
| 10 | 237.50 | -86.797 |
| 11 | 98.26 | -21.700 |
| 12 | 106.17 | -24.180 |
| 13 | 89.00 | -20.956 |
| 14 | 93.54 | -20.964 |
| 15 | 280.74 | -76.525 |
| 16 | 139.24 | -38.548 |
| 17 | 112.93 | -21.829 |
| 18 | 168.49 | -34.231 |
| 19 | 84.05 | -17.204 |
| 20 | 331.27 | -89.887 |